# 1
This record from the Alexandria database describes crystalline Sc2NbPbC at its relaxed geometry. The functional is PBE-GGA.

Computed properties:
- formation energy (eV/atom) = -0.43

a = 4.596 Å, b = 4.596 Å, c = 4.326 Å
α = 90.00°, β = 90.00°, γ = 90.00°
Fractional coordinates of all 5 atoms:
C: 0.000 0.000 0.000
Pb: 0.500 0.500 0.500
Sc: 0.500 0.000 0.000
Sc: 0.000 0.500 0.000
Nb: 0.000 0.000 0.500


# 2
This record from the Alexandria database describes crystalline CaPr4Nd2Er at its relaxed geometry. The functional is PBE-GGA.

Computed properties:
- formation energy (eV/atom) = 0.36

a = 9.800 Å, b = 9.800 Å, c = 12.230 Å
α = 128.71°, β = 128.71°, γ = 88.02°
Fractional coordinates of all 16 atoms:
Nd: 0.000 0.000 0.500
Nd: 0.500 0.000 0.500
Nd: 0.500 0.000 0.000
Nd: 0.500 0.500 0.000
Pr: 0.747 0.248 0.997
Pr: 0.266 0.270 0.007
Pr: 0.252 0.753 0.503
Pr: 0.748 0.247 0.497
Pr: 0.253 0.752 0.003
Pr: 0.230 0.234 0.493
Pr: 0.770 0.766 0.507
Pr: 0.734 0.730 0.993
Er: 0.000 0.500 0.000
Er: 0.000 0.500 0.500
Ca: 0.500 0.500 0.500
Ca: 0.000 0.000 0.000


Number 1: density of states at the Fermi level 3.152 states/eV per cell. Number 2: density of states at the Fermi level 33.704 states/eV per cell.